This record from Alexandria describes AgCBrO2 after structural relaxation. The functional is GGA-PBE.

Unit cell a=5.5377 b=8.4552 c=5.2596 alpha=107.91 beta=90.00 gamma=90.00
With the nearest neighbours (Å) after each atom.
Fractional coordinates of all 10 atoms:
Ag1 0.7500 0.4868 0.7464  4 Br 2.75-2.83
Ag2 0.2500 0.5132 0.2536  4 Br 2.75-2.83
C1 0.2500 0.9958 0.7631  2 O 1.18
C2 0.7500 0.0042 0.2369  2 O 1.18
Br1 0.7500 0.5864 0.2956  4 Ag 2.75-2.83
Br2 0.2500 0.4136 0.7044  4 Ag 2.75-2.83
O1 0.7500 0.9219 0.0113  1 C 1.18
O2 0.2500 0.0781 0.9887  1 C 1.18
O3 0.2500 0.9124 0.5384  1 C 1.18
O4 0.7500 0.0876 0.4616  1 C 1.18

Computed properties:
Space group   P2_1/m
E   -56.01 eV per cell
Formation energy (no corrections)   -0.868 eV per atom

---

This record from Alexandria describes VZnInGe2 after structural relaxation. The functional is GGA-PBE.

Unit cell a=5.1914 b=4.9009 c=5.1914 alpha=90.00 beta=90.00 gamma=90.00
With the nearest neighbours (Å) after each atom.
Fractional coordinates of all 5 atoms:
Ge1 0.0000 0.0000 0.5000  2 In 2.60
Ge2 0.5000 0.0000 0.0000  2 In 2.60
V1 0.5000 0.5000 0.5000  8 Ge 3.57, 4 Zn 3.67
Zn1 0.0000 0.5000 0.0000  2 In 2.45
In1 0.0000 0.0000 0.0000  2 Zn 2.45, 4 Ge 2.60

Computed properties:
Space group   P4/mmm
E   -15.28 eV per cell
ΔH_f (0 K)   1416.5 meV per atom

---

This record from Alexandria describes RbMn after structural relaxation. The functional is GGA-PBE.

Unit cell a=7.3902 b=7.3902 c=7.2990 alpha=90.00 beta=90.00 gamma=90.00
With the nearest neighbours (Å) after each atom.
Fractional coordinates of all 8 atoms:
Rb1 0.6772 0.6772 0.0000  4 Mn 3.61-3.70, 1 Rb 3.70
Rb2 0.1772 0.8228 0.5000  4 Mn 3.61-3.70, 1 Rb 3.70
Rb3 0.8228 0.1772 0.5000  4 Mn 3.61-3.70, 1 Rb 3.70
Rb4 0.3228 0.3228 0.0000  4 Mn 3.61-3.70, 1 Rb 3.70
Mn1 0.8782 0.1218 0.0000  1 Mn 2.54
Mn2 0.3782 0.3782 0.5000  1 Mn 2.54
Mn3 0.6218 0.6218 0.5000  1 Mn 2.54
Mn4 0.1218 0.8782 0.0000  1 Mn 2.54

Computed properties:
Space group   P4_2/mnm
E   -30.66 eV per cell
ΔH_f (0 K)   1236.6 meV per atom

---

This record from Alexandria describes Sr2YS4 after structural relaxation. The functional is GGA-PBE.

Unit cell a=5.2160 b=5.2160 c=8.3571 alpha=71.82 beta=71.82 gamma=90.00
With the nearest neighbours (Å) after each atom.
Fractional coordinates of all 7 atoms:
Y1 0.0000 0.0000 0.0000  6 S 2.61-2.70
Sr1 0.3691 0.3691 0.2618  1 S 2.84
Sr2 0.6309 0.6309 0.7382  1 S 2.84
S1 0.1800 0.1800 0.6401  1 Y 2.70, 1 Sr 2.84
S2 0.8200 0.8200 0.3599  1 Y 2.70, 1 Sr 2.84
S3 0.0000 0.5000 0.0000  2 Y 2.61
S4 0.5000 0.0000 0.0000  2 Y 2.61

Computed properties:
Space group   I4/mmm
E   -38.07 eV per cell
Formation energy (no corrections)   -1.676 eV per atom

---

This record from Alexandria describes AcHoCd2 after structural relaxation. The functional is GGA-PBE.

Unit cell a=5.5453 b=5.5453 c=5.5453 alpha=60.00 beta=60.00 gamma=60.00
With the nearest neighbours (Å) after each atom.
Fractional coordinates of all 4 atoms:
Ac1 0.5000 0.5000 0.5000  8 Cd 3.40
Ho1 0.0000 0.0000 0.0000  8 Cd 3.40
Cd1 0.2500 0.2500 0.2500  4 Ac 3.40, 4 Ho 3.40
Cd2 0.7500 0.7500 0.7500  4 Ac 3.40, 4 Ho 3.40

Computed properties:
Space group   Fm-3m
E   -11.53 eV per cell
ΔH_f (0 K)   -253.6 meV per atom

---

Which of these has the lowest E? AgCBrO2